CaSm2Hg3: relaxed, PBE.

Unit cell a=3.774 b=3.774 c=11.520 alpha=90.00 beta=90.00 gamma=90.00
Space group P4/mmm (No. 123)
Unique sites:
Ca 0.000 0.000 0.000
Sm 0.000 0.000 0.335
Hg 0.500 0.500 0.171
Hg 0.500 0.500 0.500

Total DFT energy (no corrections) (eV/atom): -2.5672
Energy of formation (eV/atom): -0.510
Excess energy over the best structure of this formula in the dataset (meV per atom): 9
Magnetic moment (μB/f.u.): 0.23